1.
! La5Pr6Pb GGA-PBE relaxed; values from VASP
&SYSTEM
  ibrav = 0, nat = 12, ntyp = 3
/
ATOMIC_SPECIES
La 138.91 La.upf
Pr 140.91 Pr.upf
Pb 207.20 Pb.upf
ATOMIC_POSITIONS angstrom
La 2.1422 -1.8289 4.3821
La -2.0250 -4.9673 5.1095
La -1.0534 -1.5089 6.0792
La 6.3095 1.3095 3.6548
La 5.3379 -2.1490 2.6850
Pr 1.2128 -4.2993 6.9915
Pr 4.4050 -4.6224 5.2929
Pr 5.2755 -1.2397 6.2825
Pr -0.9910 -2.4182 2.4818
Pr -0.1205 0.9645 3.4713
Pr 3.0716 0.6414 1.7727
Pb 0.0000 0.0000 0.0000
CELL_PARAMETERS angstrom
-2.3217 3.7049 2.6839
-2.9477 -8.3889 4.1312
9.5539 1.0262 1.9492
! ΔE_f = -82.5 meV/atom
! DOS(E_F) = 1.362 states/eV/atom


2.
! Tb3Pr5Y2 GGA-PBE relaxed; values from VASP
&SYSTEM
  ibrav = 0, nat = 20, ntyp = 3
/
ATOMIC_SPECIES
Pr 140.91 Pr.upf
Tb 158.93 Tb.upf
Y 88.91 Y.upf
ATOMIC_POSITIONS angstrom
Pr 4.5645 3.3536 5.0141
Pr 1.6622 -0.1079 5.9430
Pr 6.4807 5.6300 1.4908
Pr 5.5819 8.7287 -4.0067
Pr 3.5407 2.1233 2.3205
Pr 0.7633 2.9908 0.4455
Pr 2.6795 5.2673 -3.0779
Pr 3.7034 6.4975 -0.3842
Pr -0.5813 5.6113 2.3324
Pr 7.8254 3.0096 -0.3962
Tb 0.4323 6.8292 4.9992
Tb 6.1800 5.2240 -2.5838
Tb 7.0510 2.0919 2.8404
Tb 6.8118 1.7916 -3.0629
Tb 1.0640 3.3968 4.5201
Tb 0.1930 6.5289 -0.9041
Y 5.2233 -0.0698 4.5680
Y 2.0207 8.6906 -2.6317
Y 4.3268 3.0316 -0.9236
Y 2.9173 5.5893 2.8599
CELL_PARAMETERS angstrom
8.9533 2.2337 -4.4233
0.6878 9.1838 -4.4559
-2.3971 -2.7968 10.8155
! ΔE_f = 169.2 meV/atom
! DOS(E_F) = 1.713 states/eV/atom


Copy entry 2 word for word.
! Tb3Pr5Y2 GGA-PBE relaxed; values from VASP
&SYSTEM
  ibrav = 0, nat = 20, ntyp = 3
/
ATOMIC_SPECIES
Pr 140.91 Pr.upf
Tb 158.93 Tb.upf
Y 88.91 Y.upf
ATOMIC_POSITIONS angstrom
Pr 4.5645 3.3536 5.0141
Pr 1.6622 -0.1079 5.9430
Pr 6.4807 5.6300 1.4908
Pr 5.5819 8.7287 -4.0067
Pr 3.5407 2.1233 2.3205
Pr 0.7633 2.9908 0.4455
Pr 2.6795 5.2673 -3.0779
Pr 3.7034 6.4975 -0.3842
Pr -0.5813 5.6113 2.3324
Pr 7.8254 3.0096 -0.3962
Tb 0.4323 6.8292 4.9992
Tb 6.1800 5.2240 -2.5838
Tb 7.0510 2.0919 2.8404
Tb 6.8118 1.7916 -3.0629
Tb 1.0640 3.3968 4.5201
Tb 0.1930 6.5289 -0.9041
Y 5.2233 -0.0698 4.5680
Y 2.0207 8.6906 -2.6317
Y 4.3268 3.0316 -0.9236
Y 2.9173 5.5893 2.8599
CELL_PARAMETERS angstrom
8.9533 2.2337 -4.4233
0.6878 9.1838 -4.4559
-2.3971 -2.7968 10.8155
! ΔE_f = 169.2 meV/atom
! DOS(E_F) = 1.713 states/eV/atom


Please write out number 1 again, unchanged.
! La5Pr6Pb GGA-PBE relaxed; values from VASP
&SYSTEM
  ibrav = 0, nat = 12, ntyp = 3
/
ATOMIC_SPECIES
La 138.91 La.upf
Pr 140.91 Pr.upf
Pb 207.20 Pb.upf
ATOMIC_POSITIONS angstrom
La 2.1422 -1.8289 4.3821
La -2.0250 -4.9673 5.1095
La -1.0534 -1.5089 6.0792
La 6.3095 1.3095 3.6548
La 5.3379 -2.1490 2.6850
Pr 1.2128 -4.2993 6.9915
Pr 4.4050 -4.6224 5.2929
Pr 5.2755 -1.2397 6.2825
Pr -0.9910 -2.4182 2.4818
Pr -0.1205 0.9645 3.4713
Pr 3.0716 0.6414 1.7727
Pb 0.0000 0.0000 0.0000
CELL_PARAMETERS angstrom
-2.3217 3.7049 2.6839
-2.9477 -8.3889 4.1312
9.5539 1.0262 1.9492
! ΔE_f = -82.5 meV/atom
! DOS(E_F) = 1.362 states/eV/atom


> Look up the ΔE_f of the second one.

169.2 meV/atom


> Look up the ΔE_f of the first one.

-82.5 meV/atom